[1]
# TbNd4ErS8 PBE relaxed
data_TbNd4ErS8
_chemical_formula_sum 'Tb3 Nd12 Er3 S24'
_space_group_name_H-M_alt 'R 3 m'
_space_group_IT_number 160
_space_group_name_Hall 'R 3 -2"'
_cell_length_a 8.2537
_cell_length_b 8.2537
_cell_length_c 20.1543
_cell_angle_alpha 90.00
_cell_angle_beta 90.00
_cell_angle_gamma 120.00
loop_
_atom_site_label
_atom_site_type_symbol
_atom_site_fract_x
_atom_site_fract_y
_atom_site_fract_z
Tb1 Tb 0.0000 0.0000 0.0000
Nd1 Nd 0.0000 0.0000 0.6230
Nd2 Nd 0.1687 0.3375 0.8316
Er1 Er 0.0000 0.0000 0.3743
S1 S 0.0000 0.0000 0.2465
S2 S 0.0000 0.0000 0.7563
S3 S 0.0136 0.5068 0.7470
S4 S 0.1806 0.3612 0.5818
# - DFT total energy (eV per atom) = -6.288
# - mass density (g/cm3) = 4.86

[2]
# TbNd3Er3S8 PBE relaxed
data_TbNd3Er3S8
_chemical_formula_sum 'Tb3 Nd9 Er9 S24'
_space_group_name_H-M_alt 'R -3 m'
_space_group_IT_number 166
_space_group_name_Hall '-R 3 2"'
_cell_length_a 7.8701
_cell_length_b 7.8701
_cell_length_c 19.6286
_cell_angle_alpha 90.00
_cell_angle_beta 90.00
_cell_angle_gamma 120.00
loop_
_atom_site_label
_atom_site_type_symbol
_atom_site_fract_x
_atom_site_fract_y
_atom_site_fract_z
Tb1 Tb 0.0000 0.0000 0.0000
Nd1 Nd 0.0000 0.5000 0.5000
Er1 Er 0.0000 0.5000 0.0000
S1 S 0.0000 0.0000 0.2561
S2 S 0.0065 0.5032 0.2545
# - DFT total energy (eV per atom) = -6.420
# - mass density (g/cm3) = 6.39

[3]
# Tb2NdErS4 PBE relaxed
data_Tb2NdErS4
_chemical_formula_sum 'Tb2 Nd1 Er1 S4'
_space_group_name_H-M_alt 'P 1 2/m 1'
_space_group_IT_number 10
_space_group_name_Hall '-P 2y'
_cell_length_a 6.826
_cell_length_b 3.907
_cell_length_c 6.906
_cell_angle_alpha 90.00
_cell_angle_beta 108.95
_cell_angle_gamma 90.00
loop_
_atom_site_label
_atom_site_type_symbol
_atom_site_fract_x
_atom_site_fract_y
_atom_site_fract_z
Tb1 Tb 0.000 0.000 0.000
Tb2 Tb 0.000 0.500 0.500
Nd1 Nd 0.500 0.000 0.500
Er1 Er 0.500 0.500 0.000
S1 S 0.243 0.500 0.239
S2 S 0.250 0.000 0.759
# - DFT total energy (eV per atom) = -6.378
# - mass density (g/cm3) = 7.22

[4]
# Nd2ErTe2S2 PBE relaxed
data_Nd2ErTe2S2
_chemical_formula_sum 'Nd4 Er2 Te4 S4'
_space_group_name_H-M_alt 'I 4/m m m'
_space_group_IT_number 139
_space_group_name_Hall '-I 4 2'
_cell_length_a 5.026
_cell_length_b 5.026
_cell_length_c 16.104
_cell_angle_alpha 90.00
_cell_angle_beta 90.00
_cell_angle_gamma 90.00
loop_
_atom_site_label
_atom_site_type_symbol
_atom_site_fract_x
_atom_site_fract_y
_atom_site_fract_z
Nd1 Nd 0.000 0.000 0.116
Er1 Er 0.000 0.000 0.500
Te1 Te 0.000 0.000 0.315
S1 S 0.000 0.500 0.000
# - DFT total energy (eV per atom) = -5.603
# - mass density (g/cm3) = 6.33

[5]
# Nd4Er3ThS8 PBE relaxed
data_Nd4Er3ThS8
_chemical_formula_sum 'Nd12 Er9 Th3 S24'
_space_group_name_H-M_alt 'R -3 m'
_space_group_IT_number 166
_space_group_name_Hall '-R 3 2"'
_cell_length_a 7.9561
_cell_length_b 7.9561
_cell_length_c 19.7100
_cell_angle_alpha 90.00
_cell_angle_beta 90.00
_cell_angle_gamma 120.00
loop_
_atom_site_label
_atom_site_type_symbol
_atom_site_fract_x
_atom_site_fract_y
_atom_site_fract_z
Nd1 Nd 0.0000 0.0000 0.0000
Nd2 Nd 0.0000 0.5000 0.0000
Er1 Er 0.0000 0.5000 0.5000
Th1 Th 0.0000 0.0000 0.5000
S1 S 0.0000 0.0000 0.2433
S2 S 0.0077 0.5039 0.7548
# - DFT total energy (eV per atom) = -6.544
# - mass density (g/cm3) = 7.23

[6]
# NdEr2Th3S6 PBE relaxed
data_NdEr2Th3S6
_chemical_formula_sum 'Nd2 Er4 Th6 S12'
_space_group_name_H-M_alt 'C 1 2/m 1'
_space_group_IT_number 12
_space_group_name_Hall '-C 2y'
_cell_length_a 6.827
_cell_length_b 11.751
_cell_length_c 7.080
_cell_angle_alpha 90.00
_cell_angle_beta 108.50
_cell_angle_gamma 90.00
loop_
_atom_site_label
_atom_site_type_symbol
_atom_site_fract_x
_atom_site_fract_y
_atom_site_fract_z
Nd1 Nd 0.000 0.000 0.000
Er1 Er 0.000 0.333 0.000
Th1 Th 0.000 0.162 0.500
Th2 Th 0.000 0.500 0.500
S1 S 0.233 0.500 0.232
S2 S 0.249 0.328 0.762
# - DFT total energy (eV per atom) = -6.968
# - mass density (g/cm3) = 8.43

[7]
# Nd2Er3ThS6 PBE relaxed
data_Nd2Er3ThS6
_chemical_formula_sum 'Nd4 Er6 Th2 S12'
_space_group_name_H-M_alt 'C 1 2/m 1'
_space_group_IT_number 12
_space_group_name_Hall '-C 2y'
_cell_length_a 17.425
_cell_length_b 3.926
_cell_length_c 8.008
_cell_angle_alpha 90.00
_cell_angle_beta 105.27
_cell_angle_gamma 90.00
loop_
_atom_site_label
_atom_site_type_symbol
_atom_site_fract_x
_atom_site_fract_y
_atom_site_fract_z
Nd1 Nd 0.165 0.000 0.330
Er1 Er 0.000 0.500 0.500
Er2 Er 0.167 0.000 0.835
Th1 Th 0.000 0.500 0.000
S1 S 0.005 0.000 0.740
S2 S 0.163 0.500 0.594
S3 S 0.171 0.500 0.072
# - DFT total energy (eV per atom) = -6.573
# - mass density (g/cm3) = 7.63

[8]
# Nd4ErTh3S8 PBE relaxed
data_Nd4ErTh3S8
_chemical_formula_sum 'Nd12 Er3 Th9 S24'
_space_group_name_H-M_alt 'R -3 m'
_space_group_IT_number 166
_space_group_name_Hall '-R 3 2"'
_cell_length_a 8.0496
_cell_length_b 8.0496
_cell_length_c 19.8582
_cell_angle_alpha 90.00
_cell_angle_beta 90.00
_cell_angle_gamma 120.00
loop_
_atom_site_label
_atom_site_type_symbol
_atom_site_fract_x
_atom_site_fract_y
_atom_site_fract_z
Nd1 Nd 0.0000 0.0000 0.0000
Nd2 Nd 0.0000 0.5000 0.0000
Er1 Er 0.0000 0.0000 0.5000
Th1 Th 0.0000 0.5000 0.5000
S1 S 0.0000 0.0000 0.2501
S2 S 0.0084 0.5042 0.2476
# - DFT total energy (eV per atom) = -6.870
# - mass density (g/cm3) = 7.59

[9]
# NdErTh2S4 PBE relaxed
data_NdErTh2S4
_chemical_formula_sum 'Nd1 Er1 Th2 S4'
_space_group_name_H-M_alt 'P 1 2/m 1'
_space_group_IT_number 10
_space_group_name_Hall '-P 2y'
_cell_length_a 6.858
_cell_length_b 3.994
_cell_length_c 7.029
_cell_angle_alpha 90.00
_cell_angle_beta 109.16
_cell_angle_gamma 90.00
loop_
_atom_site_label
_atom_site_type_symbol
_atom_site_fract_x
_atom_site_fract_y
_atom_site_fract_z
Nd1 Nd 0.000 0.000 0.000
Er1 Er 0.500 0.500 0.000
Th1 Th 0.000 0.500 0.500
Th2 Th 0.500 0.000 0.500
S1 S 0.256 0.500 0.243
S2 S 0.262 0.000 0.763
# - DFT total energy (eV per atom) = -6.980
# - mass density (g/cm3) = 8.25

[10]
# NdEr2ThS4 PBE relaxed
data_NdEr2ThS4
_chemical_formula_sum 'Nd1 Er2 Th1 S4'
_space_group_name_H-M_alt 'P 1 2/m 1'
_space_group_IT_number 10
_space_group_name_Hall '-P 2y'
_cell_length_a 6.800
_cell_length_b 3.909
_cell_length_c 6.984
_cell_angle_alpha 90.00
_cell_angle_beta 108.86
_cell_angle_gamma 90.00
loop_
_atom_site_label
_atom_site_type_symbol
_atom_site_fract_x
_atom_site_fract_y
_atom_site_fract_z
Nd1 Nd 0.000 0.000 0.000
Er1 Er 0.000 0.500 0.500
Er2 Er 0.500 0.000 0.500
Th1 Th 0.500 0.500 0.000
S1 S 0.244 0.000 0.731
S2 S 0.257 0.500 0.269
# - DFT total energy (eV per atom) = -6.667
# - mass density (g/cm3) = 7.93

[11]
# Nd2ErTl3S6 PBE relaxed
data_Nd2ErTl3S6
_chemical_formula_sum 'Nd4 Er2 Tl6 S12'
_space_group_name_H-M_alt 'C 1 2/m 1'
_space_group_IT_number 12
_space_group_name_Hall '-C 2y'
_cell_length_a 7.141
_cell_length_b 12.362
_cell_length_c 7.873
_cell_angle_alpha 90.00
_cell_angle_beta 107.59
_cell_angle_gamma 90.00
loop_
_atom_site_label
_atom_site_type_symbol
_atom_site_fract_x
_atom_site_fract_y
_atom_site_fract_z
Nd1 Nd 0.000 0.167 0.000
Er1 Er 0.000 0.500 0.000
Tl1 Tl 0.000 0.000 0.500
Tl2 Tl 0.000 0.332 0.500
S1 S 0.228 0.339 0.201
S2 S 0.245 0.000 0.203
# - DFT total energy (eV per atom) = -5.293
# - mass density (g/cm3) = 6.32

[12]
# Nd3ErTl4S8 PBE relaxed
data_Nd3ErTl4S8
_chemical_formula_sum 'Nd9 Er3 Tl12 S24'
_space_group_name_H-M_alt 'R -3 m'
_space_group_IT_number 166
_space_group_name_Hall '-R 3 2"'
_cell_length_a 8.2735
_cell_length_b 8.2735
_cell_length_c 22.5157
_cell_angle_alpha 90.00
_cell_angle_beta 90.00
_cell_angle_gamma 120.00
loop_
_atom_site_label
_atom_site_type_symbol
_atom_site_fract_x
_atom_site_fract_y
_atom_site_fract_z
Nd1 Nd 0.0000 0.5000 0.0000
Er1 Er 0.0000 0.0000 0.0000
Tl1 Tl 0.0000 0.0000 0.5000
Tl2 Tl 0.0000 0.5000 0.5000
S1 S 0.0000 0.0000 0.2648
S2 S 0.0098 0.5049 0.7337
# - DFT total energy (eV per atom) = -5.293
# - mass density (g/cm3) = 6.25

Repeat the third record exactly.
# Tb2NdErS4 PBE relaxed
data_Tb2NdErS4
_chemical_formula_sum 'Tb2 Nd1 Er1 S4'
_space_group_name_H-M_alt 'P 1 2/m 1'
_space_group_IT_number 10
_space_group_name_Hall '-P 2y'
_cell_length_a 6.826
_cell_length_b 3.907
_cell_length_c 6.906
_cell_angle_alpha 90.00
_cell_angle_beta 108.95
_cell_angle_gamma 90.00
loop_
_atom_site_label
_atom_site_type_symbol
_atom_site_fract_x
_atom_site_fract_y
_atom_site_fract_z
Tb1 Tb 0.000 0.000 0.000
Tb2 Tb 0.000 0.500 0.500
Nd1 Nd 0.500 0.000 0.500
Er1 Er 0.500 0.500 0.000
S1 S 0.243 0.500 0.239
S2 S 0.250 0.000 0.759
# - DFT total energy (eV per atom) = -6.378
# - mass density (g/cm3) = 7.22

What did the fifth record say?
# Nd4Er3ThS8 PBE relaxed
data_Nd4Er3ThS8
_chemical_formula_sum 'Nd12 Er9 Th3 S24'
_space_group_name_H-M_alt 'R -3 m'
_space_group_IT_number 166
_space_group_name_Hall '-R 3 2"'
_cell_length_a 7.9561
_cell_length_b 7.9561
_cell_length_c 19.7100
_cell_angle_alpha 90.00
_cell_angle_beta 90.00
_cell_angle_gamma 120.00
loop_
_atom_site_label
_atom_site_type_symbol
_atom_site_fract_x
_atom_site_fract_y
_atom_site_fract_z
Nd1 Nd 0.0000 0.0000 0.0000
Nd2 Nd 0.0000 0.5000 0.0000
Er1 Er 0.0000 0.5000 0.5000
Th1 Th 0.0000 0.0000 0.5000
S1 S 0.0000 0.0000 0.2433
S2 S 0.0077 0.5039 0.7548
# - DFT total energy (eV per atom) = -6.544
# - mass density (g/cm3) = 7.23